# Sr2SmZrAs4, relaxed, DFT PBE
data_Sr2SmZrAs4
_space_group_name_H-M_alt 'P 1 2/m 1'
_space_group_IT_number 10
_space_group_name_Hall '-P 2y'
_cell_length_a 7.2605
_cell_length_b 4.1703
_cell_length_c 7.5475
_cell_angle_alpha 90.00
_cell_angle_beta 108.40
_cell_angle_gamma 90.00
loop_
_atom_site_label
_atom_site_type_symbol
_atom_site_fract_x
_atom_site_fract_y
_atom_site_fract_z
_atom_site_occupancy
Sr1 Sr 0.0000 0.0000 0.0000 1
Sr2 Sr 0.5000 0.5000 0.0000 1
Sm1 Sm 0.0000 0.5000 0.5000 1
Zr1 Zr 0.5000 0.0000 0.5000 1
As1 As 0.2564 0.0000 0.7219 1
As2 As 0.2754 0.5000 0.2845 1
# Crystal system: monoclinic
# Energy of formation from the pure elements (eV per atom): -1.167
# Fermi-level density of states (states/eV/atom): 0.558
# Magnetic moment (μB per formula unit): 0.00



# Na4NdSm3Se8, relaxed, DFT PBE
data_Na4NdSm3Se8
_space_group_name_H-M_alt 'R -3 m'
_space_group_IT_number 166
_space_group_name_Hall '-R 3 2"'
_cell_length_a 8.4930
_cell_length_b 8.4930
_cell_length_c 21.0386
_cell_angle_alpha 90.00
_cell_angle_beta 90.00
_cell_angle_gamma 120.00
loop_
_atom_site_label
_atom_site_type_symbol
_atom_site_fract_x
_atom_site_fract_y
_atom_site_fract_z
_atom_site_occupancy
Na1 Na 0.0000 0.0000 0.0000 1
Na2 Na 0.0000 0.5000 0.0000 1
Nd1 Nd 0.0000 0.0000 0.5000 1
Sm1 Sm 0.0000 0.5000 0.5000 1
Se1 Se 0.0000 0.0000 0.2445 1
Se2 Se 0.0026 0.5013 0.7551 1
# Energy relative to the elements, uncorrected (eV/atom): -1.692
# Crystal system: trigonal
# Fermi-level density of states (states/eV/atom): 0.000
# Magnetic moment (μB per formula unit): 0.00